1.
OsPtSe2N | GGA-PBEsol | optimized geometry

a b c (Å): 3.525 5.000 5.000
angles (deg): 90.00 90.00 90.00
Atoms (fractional coordinates):
Os 0.500 0.500 0.500
Se 0.000 0.000 0.500
Se 0.000 0.500 0.000
Pt 0.000 0.000 0.000
N 0.500 0.000 0.000

SG   P4/mmm (123)
ΔE_f (raw)   1.33 eV per atom
Density of states at the Fermi level   5.4 states/eV/f.u.



2.
Sn2HgPdS | GGA-PBEsol | optimized geometry

a b c (Å): 5.048 5.056 5.056
angles (deg): 90.00 90.00 90.00
Atoms (fractional coordinates):
S 0.500 0.500 0.500
Hg 0.500 0.000 0.000
Pd 0.000 0.000 0.000
Sn 0.000 0.000 0.500
Sn 0.000 0.500 0.000

SG   P4/mmm (123)
ΔE_f (raw)   0.08 eV per atom
Density of states at the Fermi level   1.6 states/eV/f.u.



3.
SrBeTe4 | GGA-PBEsol | optimized geometry

a b c (Å): 6.365 6.365 6.365
angles (deg): 60.00 60.00 60.00
Atoms (fractional coordinates):
Sr 0.000 0.000 0.000
Te 0.376 0.376 0.376
Te 0.376 0.376 0.873
Te 0.873 0.376 0.376
Te 0.376 0.873 0.376
Be 0.750 0.750 0.750

SG   F-43m (216)
ΔE_f (raw)   0.19 eV per atom
Density of states at the Fermi level   2.4 states/eV/f.u.



4.
LiPb3Cl | GGA-PBEsol | optimized geometry

a b c (Å): 5.138 5.138 5.138
angles (deg): 90.00 90.00 90.00
Atoms (fractional coordinates):
Pb 0.000 0.500 0.000
Pb 0.000 0.000 0.500
Pb 0.500 0.000 0.000
Li 0.000 0.000 0.000
Cl 0.500 0.500 0.500

SG   Pm-3m (221)
ΔE_f (raw)   0.03 eV per atom
Density of states at the Fermi level   3.9 states/eV/f.u.



5.
Be2AgSb | GGA-PBEsol | optimized geometry

a b c (Å): 4.518 4.518 4.518
angles (deg): 60.00 60.00 60.00
Atoms (fractional coordinates):
Sb 0.250 0.250 0.250
Ag 0.500 0.500 0.500
Be 0.000 0.000 0.000
Be 0.750 0.750 0.750

SG   F-43m (216)
ΔE_f (raw)   0.71 eV per atom
Density of states at the Fermi level   1.2 states/eV/f.u.



6.
SrTl3Ru | GGA-PBEsol | optimized geometry

a b c (Å): 5.842 5.842 5.842
angles (deg): 90.00 90.00 90.00
Atoms (fractional coordinates):
Ru 0.500 0.500 0.500
Tl 0.000 0.500 0.000
Tl 0.000 0.000 0.500
Tl 0.500 0.000 0.000
Sr 0.000 0.000 0.000

SG   Pm-3m (221)
Calculated formation energy   1.747 eV per atom
Density of states at the Fermi level   7.9 states/eV/f.u.



7.
ZrIn2Tc | GGA-PBEsol | optimized geometry

a b c (Å): 3.483 3.483 6.362
angles (deg): 90.00 90.00 90.00
Atoms (fractional coordinates):
In 0.000 0.000 0.001
In 0.500 0.500 0.266
Tc 0.000 0.000 0.514
Zr 0.500 0.500 0.719

SG   P4mm (99)
Energy relative to the lowest polymorph listed for this composition   0.00 kcal/mol of atoms
Calculated formation energy   -0.081 eV per atom
Density of states at the Fermi level   2.0 states/eV/f.u.



8.
Ba3Pt | GGA-PBEsol | optimized geometry

a b c (Å): 4.493 4.493 11.264
angles (deg): 78.50 78.50 60.00
Atoms (fractional coordinates):
Ba 0.282 0.282 0.154
Ba 0.500 0.500 0.500
Ba 0.718 0.718 0.846
Pt 0.000 0.000 0.000

SG   R-3m (166)
Calculated formation energy   -0.376 eV per atom
Density of states at the Fermi level   2.9 states/eV/f.u.



9.
As2PbCl | GGA-PBEsol | optimized geometry

a b c (Å): 4.943 4.943 4.943
angles (deg): 60.00 60.00 60.00
Atoms (fractional coordinates):
Pb 0.750 0.750 0.750
As 0.000 0.000 0.000
As 0.250 0.250 0.250
Cl 0.500 0.500 0.500

SG   F-43m (216)
ΔE_f (raw)   0.05 eV per atom
Density of states at the Fermi level   1.7 states/eV/f.u.



10.
BePRu2 | GGA-PBEsol | optimized geometry

a b c (Å): 2.821 3.980 3.980
angles (deg): 90.00 90.00 90.00
Atoms (fractional coordinates):
Ru 0.000 0.000 0.500
Ru 0.000 0.500 0.000
P 0.500 0.000 0.000
Be 0.500 0.500 0.500

SG   P4/mmm (123)
Energy relative to the lowest polymorph listed for this composition   1.62 kcal/mol of atoms
Calculated formation energy   -0.441 eV per atom
Density of states at the Fermi level   2.3 states/eV/f.u.



11.
LaY2Bi2 | GGA-PBEsol | optimized geometry

a b c (Å): 4.114 8.523 8.523
angles (deg): 90.00 90.00 90.00
Atoms (fractional coordinates):
Y 0.500 0.155 0.655
Y 0.500 0.655 0.845
Y 0.500 0.845 0.345
Y 0.500 0.345 0.155
Bi 0.000 0.357 0.857
Bi 0.000 0.857 0.643
Bi 0.000 0.643 0.143
Bi 0.000 0.143 0.357
La 0.000 0.000 0.000
La 0.000 0.500 0.500

SG   P4/mbm (127)
Calculated formation energy   -0.792 eV per atom
Density of states at the Fermi level   4.4 states/eV/f.u.



12.
In2OsSe | GGA-PBEsol | optimized geometry

a b c (Å): 4.282 4.282 5.054
angles (deg): 115.07 115.07 90.00
Atoms (fractional coordinates):
In 0.000 0.000 0.000
In 0.750 0.250 0.500
Os 0.500 0.500 0.000
Se 0.250 0.750 0.500

SG   I-4m2 (119)
ΔE_f (raw)   0.57 eV per atom
Density of states at the Fermi level   2.0 states/eV/f.u.



13.
ScMn2Cr | GGA-PBEsol | optimized geometry

a b c (Å): 2.926 4.172 4.172
angles (deg): 90.00 90.00 90.00
Atoms (fractional coordinates):
Cr 0.500 0.000 0.000
Mn 0.000 0.000 0.500
Mn 0.000 0.500 0.000
Sc 0.500 0.500 0.500

SG   P4/mmm (123)
Energy relative to the lowest polymorph listed for this composition   0.00 kcal/mol of atoms
Calculated formation energy   0.199 eV per atom
Density of states at the Fermi level   3.2 states/eV/f.u.



14.
Ge2W | GGA-PBEsol | optimized geometry

a b c (Å): 3.441 6.357 8.525
angles (deg): 90.00 90.00 90.00
Atoms (fractional coordinates):
Ge 0.750 0.063 0.632
Ge 0.250 0.937 0.368
Ge 0.750 0.563 0.868
Ge 0.250 0.437 0.132
Ge 0.250 0.366 0.541
Ge 0.750 0.634 0.459
Ge 0.250 0.866 0.959
Ge 0.750 0.134 0.041
W 0.750 0.749 0.171
W 0.250 0.251 0.829
W 0.750 0.249 0.329
W 0.250 0.751 0.671

SG   Pnma (62)
Calculated formation energy   -0.040 eV per atom
Density of states at the Fermi level   0.4 states/eV/f.u.



15.
Rb2AlP | GGA-PBEsol | optimized geometry

a b c (Å): 5.614 5.614 5.614
angles (deg): 60.00 60.00 60.00
Atoms (fractional coordinates):
P 0.500 0.500 0.500
Al 0.000 0.000 0.000
Rb 0.250 0.250 0.250
Rb 0.750 0.750 0.750

SG   Fm-3m (225)
Calculated formation energy   0.401 eV per atom



16.
FeOs2Se | GGA-PBEsol | optimized geometry

a b c (Å): 2.978 4.277 4.277
angles (deg): 90.02 90.00 90.00
Atoms (fractional coordinates):
Fe 0.500 0.500 0.500
Os 0.000 0.500 0.000
Os 0.000 0.000 0.500
Se 0.500 0.000 0.000

SG   P4/mmm (123)
ΔE_f (raw)   0.64 eV per atom
Density of states at the Fermi level   4.0 states/eV/f.u.



17.
Ru3IO | GGA-PBEsol | optimized geometry

a b c (Å): 4.782 4.782 4.782
angles (deg): 90.00 90.00 90.00
Atoms (fractional coordinates):
I 0.000 0.000 0.000
Ru 0.000 0.500 0.000
Ru 0.000 0.000 0.500
Ru 0.500 0.000 0.000
O 0.500 0.500 0.500

SG   Pm-3m (221)
ΔE_f (raw)   2.54 eV per atom
Density of states at the Fermi level   5.4 states/eV/f.u.



18.
MgMnCd2 | GGA-PBEsol | optimized geometry

a b c (Å): 3.611 4.487 4.487
angles (deg): 90.00 90.00 90.00
Atoms (fractional coordinates):
Cd 0.000 0.000 0.500
Cd 0.000 0.500 0.000
Mg 0.500 0.500 0.500
Mn 0.500 0.000 0.000

SG   P4/mmm (123)
Calculated formation energy   0.144 eV per atom
Density of states at the Fermi level   2.0 states/eV/f.u.



19.
ZrTaSi3 | GGA-PBEsol | optimized geometry

a b c (Å): 4.735 4.735 4.735
angles (deg): 90.00 90.00 90.00
Atoms (fractional coordinates):
Si 0.000 0.500 0.000
Si 0.000 0.000 0.500
Si 0.500 0.000 0.000
Zr 0.000 0.000 0.000
Ta 0.500 0.500 0.500

SG   Pm-3m (221)
ΔE_f (raw)   1.42 eV per atom
Density of states at the Fermi level   4.4 states/eV/f.u.



20.
YTl3 | GGA-PBEsol | optimized geometry

a b c (Å): 4.662 4.662 4.662
angles (deg): 90.00 90.00 90.00
Atoms (fractional coordinates):
Y 0.000 0.000 0.000
Tl 0.500 0.500 0.000
Tl 0.500 0.000 0.500
Tl 0.000 0.500 0.500

SG   Pm-3m (221)
Calculated formation energy   -0.317 eV per atom
Density of states at the Fermi level   2.3 states/eV/f.u.



Calculated total energy list, top to bottom, in eV per atom: -5.7555 -3.8050 -3.1388 -3.1621 -3.2583 -2.2337 -6.6613 -3.7289 -4.0059 -7.9756 -6.3041 -4.9388 -8.8932 -7.9353 -2.5820 -8.6723 -4.9677 -3.3239 -6.3611 -3.9949